Record 1
An optimized crystal structure of AsSeBr2. Source: Alexandria, functional PBE.

extended XYZ file:
```
4
Lattice="-2.391 3.354 1.929 -1.308 0.909 4.260 6.358 4.384 1.645" Properties=species:S:1:pos:R:3 pbc="T T T"
As 0.665 2.162 1.959
Se 1.994 6.485 5.876
Br -3.093 3.979 5.610
Br 0.723 4.607 4.496
```

Calculated values
ρ   4.5 Mg/m³
Space group   C2/m (12)
DOS(E_F)   2.4 states/eV/cell
Size of the total moment   0.08 μB/f.u.
Energy above the lowest structure with this stoichiometry   203 kJ/mol of formula units
Energy relative to the elements, uncorrected   0.35 eV/atom


Record 2
An optimized crystal structure of AsSeBr2. Source: Alexandria, functional PBE.

extended XYZ file:
```
4
Lattice="3.499 0.000 0.000 0.000 6.702 0.000 0.000 0.000 4.391" Properties=species:S:1:pos:R:3 pbc="T T T"
As 0.000 3.351 2.196
Se 1.749 0.000 2.196
Br 0.000 0.000 0.000
Br 1.749 3.351 0.000
```

Calculated values
ρ   5.1 Mg/m³
Space group   Pmmm (47)
DOS(E_F)   2.0 states/eV/cell
Size of the total moment   0.71 μB/f.u.
Energy above the lowest structure with this stoichiometry   242 kJ/mol of formula units
Energy relative to the elements, uncorrected   0.45 eV/atom


Record 3
An optimized crystal structure of AsSeBr2. Source: Alexandria, functional PBE.

extended XYZ file:
```
8
Lattice="-4.141 8.867 2.274 1.664 -1.726 9.756 1.051 4.689 5.823" Properties=species:S:1:pos:R:3 pbc="T T T"
As -1.238 3.571 6.015
As 0.738 3.267 10.797
Se 0.000 0.000 0.000
Se -2.164 8.563 7.056
Br -1.470 5.112 3.741
Br 0.138 2.588 8.193
Br 0.120 5.925 10.404
Br -1.639 10.035 13.369
```

Calculated values
ρ   4.0 Mg/m³
Space group   I-42d (122)
DOS(E_F)   5.5 states/eV/cell
Size of the total moment   0.98 μB/f.u.
Energy above the lowest structure with this stoichiometry   129 kJ/mol of formula units
Energy relative to the elements, uncorrected   0.15 eV/atom


Record 4
An optimized crystal structure of As2SeBr2. Source: Alexandria, functional PBE.

extended XYZ file:
```
5
Lattice="-1.723 3.757 1.777 -2.875 -2.466 2.428 1.837 0.362 6.712" Properties=species:S:1:pos:R:3 pbc="T T T"
As -1.476 0.589 3.020
As -1.285 1.064 7.897
Se 0.000 0.000 0.000
Br -1.092 2.383 5.296
Br -1.668 -0.729 5.621
```

Calculated values
ρ   5.1 Mg/m³
Space group   I4/mmm (139)
DOS(E_F)   3.3 states/eV/cell
Size of the total moment   0.00 μB/f.u.
Energy above the lowest structure with this stoichiometry   184 kJ/mol of formula units
Energy relative to the elements, uncorrected   0.52 eV/atom


Record 5
An optimized crystal structure of AsSeBr2. Source: Alexandria, functional PBE.

extended XYZ file:
```
4
Lattice="-1.822 -0.152 -2.936 -1.499 -0.736 3.029 -2.929 11.076 1.244" Properties=species:S:1:pos:R:3 pbc="T T T"
As -3.857 7.862 0.979
Se -2.393 2.324 0.358
Br -2.707 10.235 1.149
Br -1.687 6.379 0.716
```

Calculated values
ρ   4.4 Mg/m³
Space group   Cmmm (65)
DOS(E_F)   3.7 states/eV/cell
Size of the total moment   0.55 μB/f.u.
Energy above the lowest structure with this stoichiometry   226 kJ/mol of formula units
Energy relative to the elements, uncorrected   0.40 eV/atom


Record 6
An optimized crystal structure of AsSe3Br. Source: Alexandria, functional PBE.

extended XYZ file:
```
10
Lattice="-2.282 -3.239 -7.580 7.451 0.419 -2.252 0.791 -4.771 1.699" Properties=species:S:1:pos:R:3 pbc="T T T"
As 5.367 -3.520 -0.939
As 3.931 -2.747 -5.613
Se 2.492 -1.875 -3.868
Se 6.619 -5.971 -4.176
Se 1.257 -5.402 -7.584
Se 5.183 -5.707 -7.913
Se 2.245 -7.327 -6.288
Se 5.961 -3.168 -4.306
Br 2.418 -4.483 -3.321
Br 5.008 -3.508 -9.289
```

Calculated values
ρ   3.8 Mg/m³
Space group   P1 (1)
DOS(E_F)   0.2 states/eV/cell
Size of the total moment   0.00 μB/f.u.
Energy above the lowest structure with this stoichiometry   0 kJ/mol of formula units
Energy relative to the elements, uncorrected   0.02 eV/atom


Record 7
An optimized crystal structure of AsSeBr2. Source: Alexandria, functional PBE.

extended XYZ file:
```
4
Lattice="1.955 0.000 9.992 -0.977 1.693 9.992 -0.977 -1.693 9.992" Properties=species:S:1:pos:R:3 pbc="T T T"
As 0.000 0.000 0.000
Se 0.000 0.000 14.988
Br 0.000 0.000 27.459
Br 0.000 0.000 2.517
```

Calculated values
ρ   5.3 Mg/m³
Space group   R-3m (166)
DOS(E_F)   2.9 states/eV/cell
Size of the total moment   0.00 μB/f.u.
Energy above the lowest structure with this stoichiometry   250 kJ/mol of formula units
Energy relative to the elements, uncorrected   0.47 eV/atom


Record 8
An optimized crystal structure of AsSeBr2. Source: Alexandria, functional PBE.

extended XYZ file:
```
4
Lattice="-1.582 -3.520 -1.238 3.746 -1.550 -0.378 -0.274 -2.427 7.249" Properties=species:S:1:pos:R:3 pbc="T T T"
As 0.910 -4.060 3.747
Se -0.170 -1.509 4.508
Br -0.255 -2.260 6.750
Br 0.995 -3.308 1.500
```

Calculated values
ρ   4.1 Mg/m³
Space group   Pmm2 (25)
DOS(E_F)   0.9 states/eV/cell
Size of the total moment   0.00 μB/f.u.
Energy above the lowest structure with this stoichiometry   57 kJ/mol of formula units
Energy relative to the elements, uncorrected   -0.03 eV/atom